A plane-wave DFT calculation with GGA-PBE was carried out for Li4ZnPd5 after structural relaxation.

uncorrected energy	-3.96	eV/atom
volume	136	Å³ per cell
distance to the lowest polymorph of the same formula	0.0	meV per atom
DOS at the Fermi energy	1.4	states/eV/cell
formation enthalpy at 0 K	-0.4682	eV/atom

Cell lengths 3.0073, 3.0073, 15.0370 Å; angles 90.00, 90.00, 90.00 degrees
Closest atoms and distances in Å follow each position.
Space group P4/mmm (No. 123)
Unique sites:
Li 0.0000 0.0000 0.0987 x2  8 Pd 2.59-2.60
Li 0.0000 0.0000 0.2947 x2  8 Pd 2.58-2.63
Zn 0.0000 0.0000 0.5000 x1  8 Pd 2.63
Pd 0.5000 0.5000 0.0000 x1  8 Li 2.59
Pd 0.5000 0.5000 0.1980 x2  8 Li 2.58-2.60
Pd 0.5000 0.5000 0.3972 x2  4 Li 2.63, 4 Zn 2.63

---

A plane-wave DFT calculation with GGA-PBE was carried out for LiZn6Pd2 after structural relaxation.

uncorrected energy	-2.50	eV/atom
volume	282	Å³ per cell
distance to the lowest polymorph of the same formula	54.3	meV per atom
DOS at the Fermi energy	3.2	states/eV/cell
formation enthalpy at 0 K	-0.2878	eV/atom

Cell lengths 8.7569, 5.1340, 6.8404 Å; angles 90.00, 113.31, 90.00 degrees
Closest atoms and distances in Å follow each position.
Space group C2/m (No. 12)
Unique sites:
Li 0.0000 0.0000 0.0000 x2  2 Pd 2.59, 6 Zn 2.65-2.73
Zn 0.0889 0.2473 0.3680 x8  5 Zn 2.54-2.81, 3 Pd 2.59-2.69, 1 Li 2.65
Zn 0.2447 0.0000 0.8465 x4  3 Pd 2.63-2.66, 1 Li 2.73, 2 Zn 2.77
Pd 0.1892 0.5000 0.7429 x4  1 Li 2.59, 9 Zn 2.59-2.69

---

A plane-wave DFT calculation with GGA-PBE was carried out for Li4ZnPd2 after structural relaxation.

uncorrected energy	-3.02	eV/atom
volume	219	Å³ per cell
distance to the lowest polymorph of the same formula	13.3	meV per atom
DOS at the Fermi energy	5.7	states/eV/cell
formation enthalpy at 0 K	-0.2655	eV/atom

Cell lengths 13.4380, 2.7530, 6.7692 Å; angles 90.00, 119.11, 90.00 degrees
Closest atoms and distances in Å follow each position.
Space group C2/m (No. 12)
Unique sites:
Li 0.0941 0.0000 0.2259 x4  3 Pd 2.51-2.65, 1 Zn 2.71, 2 Li 2.75
Li 0.1472 0.5000 0.8993 x4  3 Pd 2.67-2.70, 6 Li 2.75-2.97, 2 Zn 2.81
Zn 0.0000 0.0000 0.5000 x2  2 Pd 2.57, 6 Li 2.71-2.81, 2 Zn 2.75
Pd 0.2160 0.0000 0.6486 x4  6 Li 2.51-2.70, 1 Zn 2.57, 2 Pd 2.75